No. 1
10
Lattice="-2.4821 3.1431 7.7670 2.4821 -3.1431 7.7670 2.4821 3.1431 -7.7670" Properties=species:S:1:pos:R:3 comment="Mg4Pb GGA-PBE optimized geometry" rho_g_cm3=4.2 space_group="Imma, No. 74" e_above_lowest_polymorph_kj_per_mol_atoms=3.5 pbc="T T T"
Mg 0.0000 0.0000 0.0000
Mg 0.0000 0.0521 3.0550
Mg 2.4821 0.0521 4.7120
Mg 2.4821 1.5715 1.6697
Mg 0.0000 3.1431 0.0000
Mg 0.0000 1.5715 6.0973
Mg 0.0000 3.0910 3.0550
Mg 2.4821 3.0910 4.7120
Pb 2.4821 1.5715 -1.6927
Pb 0.0000 1.5715 9.4597

No. 2
3
Lattice="3.5183 0.0000 0.0000 -1.7592 3.0470 0.0000 0.0000 0.0000 7.9856" Properties=species:S:1:pos:R:3 comment="MgPb2 GGA-PBE optimized geometry" rho_g_cm3=8.5 space_group="P-3m1, No. 164" e_above_lowest_polymorph_kj_per_mol_atoms=3.2 pbc="T T T"
Mg 0.0000 0.0000 0.0000
Pb 0.0000 2.0313 2.5416
Pb 1.7592 1.0157 5.4441

No. 3
4
Lattice="1.6450 0.9498 10.8148 -1.6450 0.9498 10.8148 0.0000 -1.8995 10.8148" Properties=species:S:1:pos:R:3 comment="Mg3Pb GGA-PBE optimized geometry" rho_g_cm3=4.6 space_group="R-3m, No. 166" pbc="T T T"
Mg 0.0000 0.0000 0.0000
Mg 0.0000 0.0000 8.2299
Mg 0.0000 0.0000 24.2145
Pb 0.0000 0.0000 16.2222

Number 1: E_form 0.008 eV per atom, D(E_F) 4.7 states/eV per cell. Number 2: E_form 0.000 eV per atom, D(E_F) 1.8 states/eV per cell. Number 3: E_form 0.027 eV per atom, D(E_F) 2.1 states/eV per cell.